Compound: BeCuRe2
Source: the Alexandria database
Functional: SCAN
Structure: single point on PBEsol structure

Properties
Energy of formation (eV per atom): 0.20
Total magnetization (μB/cell): 0.00
N(E_F) (states/eV per cell): 4.88

Structure (CIF):
```
data_BeCuRe2
_space_group_name_H-M_alt 'I m m m'
_space_group_IT_number 71
_space_group_name_Hall '-I 2 2'
_cell_length_a 3.037
_cell_length_b 4.113
_cell_length_c 8.104
_cell_angle_alpha 90.00
_cell_angle_beta 90.00
_cell_angle_gamma 90.00
loop_
_atom_site_label
_atom_site_type_symbol
_atom_site_fract_x
_atom_site_fract_y
_atom_site_fract_z
Be1 Be 0.000 0.000 0.000
Cu1 Cu 0.000 0.000 0.500
Re1 Re 0.000 0.500 0.261
```


Compound: BeCu2Re
Source: the Alexandria database
Functional: SCAN
Structure: single point on PBEsol structure

Properties
Energy of formation (eV per atom): 0.21
Total magnetization (μB/cell): 0.00
N(E_F) (states/eV per cell): 4.02

Structure (CIF):
```
data_BeCu2Re
_space_group_name_H-M_alt 'I m m 2'
_space_group_IT_number 44
_cell_length_a 2.538
_cell_length_b 4.361
_cell_length_c 8.405
_cell_angle_alpha 90.00
_cell_angle_beta 90.00
_cell_angle_gamma 90.00
loop_
_space_group_symop_operation_xyz
'x,y,z'
'-x,-y,z'
'-x,y,z'
'x,-y,z'
'x+1/2,y+1/2,z+1/2'
'-x+1/2,-y+1/2,z+1/2'
'-x+1/2,y+1/2,z+1/2'
'x+1/2,-y+1/2,z+1/2'
loop_
_atom_site_label
_atom_site_type_symbol
_atom_site_fract_x
_atom_site_fract_y
_atom_site_fract_z
Be1 Be 0.000 0.000 0.000
Cu1 Cu 0.000 0.000 0.475
Cu2 Cu 0.000 0.500 0.720
Re1 Re 0.000 0.500 0.253
```